La2Nd6Y | PBE | optimized geometry

- Distance to the lowest polymorph of the same formula: 0.05 eV per formula unit
- Calculated total energy: -4.93 eV per atom

a = 3.6774 Å, b = 3.6774 Å, c = 27.4448 Å
α = 90.00°, β = 90.00°, γ = 120.00°
Atoms (fractional coordinates):
1 La 0.0000 0.0000 0.1703
2 La 0.0000 0.0000 0.8297
3 Nd 0.0000 0.0000 0.3934
4 Nd 0.0000 0.0000 0.6066
5 Nd 0.6667 0.3333 0.0620
6 Nd 0.6667 0.3333 0.2846
7 Nd 0.6667 0.3333 0.7154
8 Nd 0.6667 0.3333 0.9380
9 Y 0.6667 0.3333 0.5000

***

Ba2CaYRh | PBE | optimized geometry

- Calculated total energy: -4.04 eV per atom

a = 6.2228 Å, b = 6.2228 Å, c = 5.4380 Å
α = 90.00°, β = 90.00°, γ = 90.00°
Atoms (fractional coordinates):
1 Ba 0.0000 0.5000 0.0000
2 Ba 0.5000 0.0000 0.0000
3 Ca 0.0000 0.0000 0.5000
4 Y 0.5000 0.5000 0.5000
5 Rh 0.5000 0.5000 0.0000

***

PmTm5Ni2 | PBE | optimized geometry

- Distance to the lowest polymorph of the same formula: 0.12 eV per formula unit
- Calculated total energy: -4.98 eV per atom

a = 4.4905 Å, b = 7.2436 Å, c = 12.8906 Å
α = 90.00°, β = 90.00°, γ = 90.00°
Atoms (fractional coordinates):
1 Pm 0.0000 0.0000 0.0000
2 Pm 0.5000 0.5000 0.5000
3 Tm 0.0000 0.2315 0.3484
4 Tm 0.0000 0.2315 0.6516
5 Tm 0.0000 0.5000 0.0000
6 Tm 0.0000 0.7685 0.3484
7 Tm 0.0000 0.7685 0.6516
8 Tm 0.5000 0.0000 0.5000
9 Tm 0.5000 0.2685 0.1516
10 Tm 0.5000 0.2685 0.8484
11 Tm 0.5000 0.7315 0.1516
12 Tm 0.5000 0.7315 0.8484
13 Ni 0.0000 0.5000 0.2041
14 Ni 0.0000 0.5000 0.7959
15 Ni 0.5000 0.0000 0.2959
16 Ni 0.5000 0.0000 0.7041

***

AsPIrPd2 | PBE | optimized geometry

- Calculated total energy: -5.18 eV per atom

a = 4.4008 Å, b = 4.4008 Å, c = 4.6746 Å
α = 90.00°, β = 90.00°, γ = 90.00°
Atoms (fractional coordinates):
1 As 0.0000 0.0000 0.0000
2 P 0.0000 0.0000 0.5000
3 Ir 0.5000 0.5000 0.0000
4 Pd 0.0000 0.5000 0.5000
5 Pd 0.5000 0.0000 0.5000

***

SmHoSb2O8 | PBE | optimized geometry

- Energy relative to the elements, uncorrected: -2.331 eV/atom
- Calculated total energy: -7.10 eV per atom

a = 6.7789 Å, b = 6.7789 Å, c = 6.7789 Å
α = 134.05°, β = 134.05°, γ = 67.01°
Atoms (fractional coordinates):
1 Sm 0.0000 0.0000 0.0000
2 Ho 0.2500 0.7500 0.5000
3 Sb 0.5000 0.5000 0.0000
4 Sb 0.7500 0.2500 0.5000
5 O 0.0212 0.0845 0.4315
6 O 0.2340 0.6634 0.0776
7 O 0.3366 0.4142 0.5706
8 O 0.4104 0.9788 0.0633
9 O 0.5858 0.1564 0.9224
10 O 0.6530 0.5896 0.5685
11 O 0.8436 0.7660 0.4294
12 O 0.9155 0.3470 0.9367

***

Cs2PI4 | PBE | optimized geometry

- Energy relative to the elements, uncorrected: -0.798 eV/atom
- Calculated total energy: -2.70 eV per atom

a = 5.8684 Å, b = 5.8684 Å, c = 18.8677 Å
α = 90.00°, β = 90.00°, γ = 90.00°
Atoms (fractional coordinates):
1 Cs 0.0000 0.0000 0.1390
2 Cs 0.0000 0.0000 0.8610
3 Cs 0.5000 0.5000 0.3610
4 Cs 0.5000 0.5000 0.6390
5 P 0.0000 0.0000 0.5000
6 P 0.5000 0.5000 0.0000
7 I 0.0000 0.0000 0.3492
8 I 0.0000 0.0000 0.6508
9 I 0.0000 0.5000 0.0000
10 I 0.0000 0.5000 0.5000
11 I 0.5000 0.0000 0.0000
12 I 0.5000 0.0000 0.5000
13 I 0.5000 0.5000 0.1508
14 I 0.5000 0.5000 0.8492

***

TbAlGa4 | PBE | optimized geometry

- Distance to the lowest polymorph of the same formula: 0.80 eV per formula unit
- Calculated total energy: -3.60 eV per atom

a = 5.4885 Å, b = 5.4885 Å, c = 5.4885 Å
α = 60.00°, β = 60.00°, γ = 60.00°
Atoms (fractional coordinates):
1 Tb 0.0000 0.0000 0.0000
2 Al 0.2500 0.2500 0.2500
3 Ga 0.1253 0.6249 0.6249
4 Ga 0.6249 0.1253 0.6249
5 Ga 0.6249 0.6249 0.1253
6 Ga 0.6249 0.6249 0.6249

***

ZrC | PBE | optimized geometry

- Distance to the lowest polymorph of the same formula: 3.01 eV per formula unit
- Calculated total energy: -8.19 eV per atom

a = 3.6254 Å, b = 3.6254 Å, c = 20.4297 Å
α = 90.00°, β = 90.00°, γ = 120.00°
Atoms (fractional coordinates):
1 Zr 0.0000 0.0000 0.0934
2 Zr 0.0000 0.0000 0.9066
3 Zr 0.3333 0.6667 0.5732
4 Zr 0.3333 0.6667 0.7601
5 Zr 0.6667 0.3333 0.2399
6 Zr 0.6667 0.3333 0.4268
7 C 0.0000 0.0000 0.4048
8 C 0.0000 0.0000 0.5952
9 C 0.3333 0.6667 0.0715
10 C 0.3333 0.6667 0.2619
11 C 0.6667 0.3333 0.7381
12 C 0.6667 0.3333 0.9285

***

Ac4TbAg5 | PBE | optimized geometry

- Calculated total energy: -3.79 eV per atom

a = 3.8796 Å, b = 3.8796 Å, c = 19.7100 Å
α = 90.00°, β = 90.00°, γ = 90.00°
Atoms (fractional coordinates):
1 Ac 0.0000 0.0000 0.1029
2 Ac 0.0000 0.0000 0.3089
3 Ac 0.0000 0.0000 0.6911
4 Ac 0.0000 0.0000 0.8971
5 Tb 0.0000 0.0000 0.5000
6 Ag 0.5000 0.5000 0.0000
7 Ag 0.5000 0.5000 0.2061
8 Ag 0.5000 0.5000 0.4185
9 Ag 0.5000 0.5000 0.5815
10 Ag 0.5000 0.5000 0.7939

***

Cd2PbW | PBE | optimized geometry

- Calculated total energy: -3.79 eV per atom

a = 4.2468 Å, b = 4.2468 Å, c = 4.7107 Å
α = 90.00°, β = 90.00°, γ = 90.00°
Atoms (fractional coordinates):
1 Cd 0.0000 0.5000 0.0000
2 Cd 0.5000 0.0000 0.0000
3 Pb 0.0000 0.0000 0.5000
4 W 0.5000 0.5000 0.5000

***

SiSb2 | PBE | optimized geometry

- Distance to the lowest polymorph of the same formula: 0.78 eV per formula unit
- Energy relative to the elements, uncorrected: 0.442 eV/atom
- Calculated total energy: -4.11 eV per atom

a = 8.1208 Å, b = 8.1208 Å, c = 3.7617 Å
α = 90.00°, β = 90.00°, γ = 120.00°
Atoms (fractional coordinates):
1 Si 0.0000 0.0000 0.0000
2 Si 0.3333 0.6667 0.5000
3 Si 0.6667 0.3333 0.5000
4 Sb 0.0000 0.2611 0.5000
5 Sb 0.0000 0.5755 0.0000
6 Sb 0.2611 0.0000 0.5000
7 Sb 0.4245 0.4245 0.0000
8 Sb 0.5755 0.0000 0.0000
9 Sb 0.7389 0.7389 0.5000

***

Ce2Sc | PBE | optimized geometry

- Distance to the lowest polymorph of the same formula: 0.63 eV per formula unit
- Calculated total energy: -5.79 eV per atom

a = 6.1451 Å, b = 6.1451 Å, c = 6.1451 Å
α = 60.00°, β = 60.00°, γ = 60.00°
Atoms (fractional coordinates):
1 Ce 0.0000 0.0000 0.0000
2 Ce 0.0000 0.0000 0.5000
3 Ce 0.0000 0.5000 0.0000
4 Ce 0.5000 0.0000 0.0000
5 Sc 0.3750 0.3750 0.3750
6 Sc 0.6250 0.6250 0.6250